Run A
Here is TbDy3Y3 after structural relaxation from Alexandria via LeMat-Bulk. Energies are from GGA-PBE.

Structure (extended XYZ):
```
14
Lattice="-4.4522 4.2857 -0.1838 -5.6017 -1.4532 -2.1754 -7.4622 -2.7661 12.2776" Properties=species:S:1:pos:R:3 pbc="T T T"
Tb -14.1647 -0.8777 10.7046
Tb -3.3514 0.9441 -0.7862
Dy -8.7181 -1.5133 2.9795
Dy -6.4751 0.9025 4.3714
Dy -9.8381 1.8322 3.5772
Dy -7.6780 -1.7657 6.3412
Dy -11.0409 -0.8360 5.5470
Dy -8.7980 1.5798 6.9389
Y -7.1438 3.0593 1.7039
Y -9.3912 0.6599 0.3153
Y -6.0398 -0.2808 1.1027
Y -11.4762 0.3473 8.8157
Y -8.1248 -0.5934 9.6031
Y -10.3723 -2.9929 8.2145
```

SG ... R-3, No. 148
DOS at the Fermi energy ... 20.56 states/eV/cell

Run B
Here is TbDy3Y3 after structural relaxation from Alexandria via LeMat-Bulk. Energies are from GGA-PBE.

Structure (extended XYZ):
```
7
Lattice="-0.4386 7.0652 4.2360 -5.1788 -1.5871 -3.2442 1.1083 -5.1914 3.4183" Properties=species:S:1:pos:R:3 pbc="T T T"
Tb -0.2469 3.9772 2.3846
Dy -2.9193 -0.0062 2.7515
Dy -0.0388 5.0560 5.3167
Dy -2.2388 6.3172 2.9854
Y -2.4486 -3.9640 0.1661
Y 0.2615 0.8525 3.1237
Y -2.2535 2.2943 0.4585
```

SG ... R3m, No. 160
DOS at the Fermi energy ... 11.26 states/eV/cell

Which one sits at the bottom of the stability order? run B does.